# 1
La5PmPr4 (PBE-GGA, relaxed); E_tot = -47.1 eV for the cell shown; space-group type = C2/m; M_tot = 0.0 μB per cell; ΔE_f = 1.44 eV/f.u.; N(E_F) = 15.382 states/eV/cell
1.0
3.5883 0.0000 -0.7768
-1.6548 8.2803 -7.6443
1.2466 -2.1452 14.4354
La Pr Pm
5 4 1
Direct
0.1740 0.7895 0.3481
0.5000 0.5000 0.0000
0.1739 0.4033 0.3478
0.8261 0.5967 0.6522
0.8260 0.2105 0.6519
0.6512 0.0511 0.3025
0.9710 0.6931 0.9421
0.0290 0.3069 0.0579
0.3488 0.9489 0.6975
0.5000 0.0000 0.0000

***

# 2
Sm2Ni3AgAs4 (PBE-GGA, relaxed); E_tot = -55.3 eV for the cell shown; space-group type = P-4m2; M_tot = 0.0 μB per cell; ΔE_f = -7.05 eV/f.u.; N(E_F) = 4.399 states/eV/cell
1.0
4.2607 0.0000 0.0000
0.0000 4.2607 0.0000
0.0000 0.0000 9.7570
As Ni Sm Ag
4 3 2 1
Direct
0.0000 0.5000 0.3526
0.0000 0.0000 0.0000
0.5000 0.5000 0.0000
0.5000 0.0000 0.6474
0.5000 0.0000 0.8877
0.0000 0.5000 0.1123
0.0000 0.0000 0.5000
0.0000 0.5000 0.7596
0.5000 0.0000 0.2404
0.5000 0.5000 0.5000

***

# 3
V3HgGe (PBE-GGA, relaxed); E_tot = -23.8 eV for the cell shown; space-group type = Pm-3m; M_tot = 6.6 μB per cell; ΔE_f = 8.43 eV/f.u.; N(E_F) = 13.308 states/eV/cell
1.0
-0.1777 0.9874 -4.8241
0.7315 -4.7684 -1.0030
-4.8695 -0.7523 0.0254
Hg Ge V
1 1 3
Direct
0.0000 0.0000 0.0000
0.5000 0.5000 0.5000
0.5000 0.0000 0.0000
0.0000 0.0000 0.5000
0.0000 0.5000 0.0000

***

# 4
ScZnTe (PBE-GGA, relaxed); E_tot = -12.1 eV for the cell shown; uncorrected formation energy = -0.454 eV per atom; space-group type = I4mm; M_tot = 0.0 μB per cell; N(E_F) = 2.802 states/eV/cell
1.0
-3.2205 4.3731 -0.4604
-2.4035 3.0387 -3.8346
-3.5356 -1.0689 -0.4357
Zn Sc Te
1 1 1
Direct
0.6560 0.6560 0.3440
0.0016 0.0016 0.9984
0.3424 0.3424 0.6576